(1)
Compound: Sr2NiCl
Source: Alexandria via LeMat-Bulk
Functional: PBEsol
Structure: relaxed

Properties
The value obtained for the offset from the most stable computed form is 0 meV per atom. The electronic total energy comes out at -14.8 eV for the cell shown. The value obtained for the density of states at the Fermi level is 0.64 states/eV per atom.

Cell lengths 4.263, 4.263, 5.965 Å; angles 90.00, 90.00, 90.00 degrees
Positions (direct):
Sr1 0.000 0.000 0.000
Sr2 0.500 0.500 0.500
Ni1 0.000 0.000 0.500
Cl1 0.500 0.500 0.000

(2)
Compound: SrNiCl4
Source: Alexandria via LeMat-Bulk
Functional: PBEsol
Structure: relaxed

Properties
The electronic total energy comes out at -16.2 eV for the cell shown. The value obtained for the density of states at the Fermi level is 1.56 states/eV per atom.

Cell lengths 5.817, 5.817, 5.817 Å; angles 60.00, 60.00, 60.00 degrees
Positions (direct):
Sr1 0.000 0.000 0.000
Ni1 0.250 0.250 0.250
Cl1 0.127 0.624 0.624
Cl2 0.624 0.127 0.624
Cl3 0.624 0.624 0.127
Cl4 0.624 0.624 0.624

(3)
Compound: SrNiTeCl2
Source: Alexandria via LeMat-Bulk
Functional: PBEsol
Structure: relaxed

Properties
The electronic total energy comes out at -16.3 eV for the cell shown. The value obtained for the density of states at the Fermi level is 1.23 states/eV per atom.

Cell lengths 5.266, 5.266, 6.599 Å; angles 90.00, 90.00, 90.00 degrees
Positions (direct):
Sr1 0.000 0.000 0.000
Ni1 0.500 0.500 0.500
Te1 0.000 0.000 0.500
Cl1 0.000 0.500 0.000
Cl2 0.500 0.000 0.000

(4)
Compound: TaNiCl3
Source: Alexandria via LeMat-Bulk
Functional: PBEsol
Structure: relaxed

Properties
The electronic total energy comes out at -23.4 eV for the cell shown. The value obtained for the density of states at the Fermi level is 2.84 states/eV per atom.

Cell lengths 4.750, 4.750, 4.750 Å; angles 90.00, 90.00, 90.00 degrees
Positions (direct):
Ta1 0.000 0.000 0.000
Ni1 0.500 0.500 0.500
Cl1 0.000 0.000 0.500
Cl2 0.000 0.500 0.000
Cl3 0.500 0.000 0.000

(5)
Compound: Ta2NiCl
Source: Alexandria via LeMat-Bulk
Functional: PBEsol
Structure: relaxed

Properties
The electronic total energy comes out at -32.5 eV for the cell shown. The value obtained for the density of states at the Fermi level is 0.81 states/eV per atom.

Cell lengths 4.524, 4.524, 2.812 Å; angles 90.00, 90.00, 90.00 degrees
Positions (direct):
Ta1 0.000 0.500 0.000
Ta2 0.500 0.000 0.000
Ni1 0.000 0.000 0.500
Cl1 0.500 0.500 0.500

(6)
Compound: TaNi2Cl
Source: Alexandria via LeMat-Bulk
Functional: PBEsol
Structure: relaxed

Properties
The electronic total energy comes out at -26.9 eV for the cell shown. The value obtained for the density of states at the Fermi level is 1.15 states/eV per atom.

Cell lengths 2.919, 2.749, 7.306 Å; angles 90.00, 90.20, 90.00 degrees
Positions (direct):
Ta1 0.000 0.000 0.000
Ni1 0.498 0.500 0.763
Ni2 0.502 0.500 0.237
Cl1 0.500 0.000 0.500

(7)
Compound: TaNiCl2
Source: Alexandria via LeMat-Bulk
Functional: PBEsol
Structure: relaxed

Properties
The value obtained for the offset from the most stable computed form is 128 meV per atom. The electronic total energy comes out at -24.5 eV for the cell shown. The value obtained for the density of states at the Fermi level is 0.30 states/eV per atom.

Cell lengths 3.611, 3.611, 8.134 Å; angles 104.41, 104.41, 49.68 degrees
Positions (direct):
Ta1 0.000 0.000 0.000
Ni1 0.781 0.781 0.182
Cl1 0.409 0.409 0.757
Cl2 0.546 0.546 0.344

(8)
Compound: TaNiCl2
Source: Alexandria via LeMat-Bulk
Functional: PBEsol
Structure: relaxed

Properties
The value obtained for the offset from the most stable computed form is 0 meV per atom. The electronic total energy comes out at -25.0 eV for the cell shown. The value obtained for the density of states at the Fermi level is 0.64 states/eV per atom.

Cell lengths 3.229, 3.090, 7.607 Å; angles 90.00, 102.00, 90.00 degrees
Positions (direct):
Ta1 0.000 0.000 0.000
Ni1 0.417 0.500 0.831
Cl1 0.124 0.500 0.254
Cl2 0.835 0.000 0.665

(9)
Compound: TcNiCl
Source: Alexandria via LeMat-Bulk
Functional: PBEsol
Structure: relaxed

Properties
The electronic total energy comes out at -17.4 eV for the cell shown. The value obtained for the density of states at the Fermi level is 0.30 states/eV per atom.

Cell lengths 3.976, 3.976, 3.976 Å; angles 60.00, 60.00, 60.00 degrees
Positions (direct):
Tc1 0.000 0.000 0.000
Ni1 0.750 0.750 0.750
Cl1 0.250 0.250 0.250

(10)
Compound: Ni2TeCl
Source: Alexandria via LeMat-Bulk
Functional: PBEsol
Structure: relaxed

Properties
The value obtained for the offset from the most stable computed form is 0 meV per atom. The electronic total energy comes out at -18.4 eV for the cell shown. The value obtained for the density of states at the Fermi level is 0.98 states/eV per atom.

Cell lengths 6.811, 6.811, 6.811 Å; angles 30.64, 30.64, 30.64 degrees
Positions (direct):
Ni1 0.000 0.000 0.000
Ni2 0.273 0.273 0.273
Te1 0.729 0.729 0.729
Cl1 0.549 0.549 0.549

(11)
Compound: Ni2TeCl
Source: Alexandria via LeMat-Bulk
Functional: PBEsol
Structure: relaxed

Properties
The value obtained for the offset from the most stable computed form is 373 meV per atom. The electronic total energy comes out at -16.9 eV for the cell shown. The value obtained for the density of states at the Fermi level is 0.70 states/eV per atom.

Cell lengths 3.187, 3.187, 6.322 Å; angles 90.00, 90.00, 90.00 degrees
Positions (direct):
Ni1 0.000 0.000 0.223
Ni2 0.000 0.000 0.777
Te1 0.500 0.500 0.000
Cl1 0.500 0.500 0.500

(12)
Compound: Ti3NiCl
Source: Alexandria via LeMat-Bulk
Functional: PBEsol
Structure: relaxed

Properties
The electronic total energy comes out at -31.2 eV for the cell shown. The value obtained for the density of states at the Fermi level is 0.92 states/eV per atom.

Cell lengths 4.566, 4.566, 4.566 Å; angles 90.00, 90.00, 90.00 degrees
Positions (direct):
Ti1 0.000 0.000 0.500
Ti2 0.000 0.500 0.000
Ti3 0.500 0.000 0.000
Ni1 0.000 0.000 0.000
Cl1 0.500 0.500 0.500

(13)
Compound: TlNiCl3
Source: Alexandria via LeMat-Bulk
Functional: PBEsol
Structure: relaxed

Properties
The electronic total energy comes out at -36.8 eV for the cell shown.

Cell lengths 6.713, 6.713, 5.744 Å; angles 90.00, 90.00, 120.00 degrees
Positions (direct):
Tl1 0.333 0.667 0.250
Tl2 0.667 0.333 0.750
Ni1 0.000 0.000 0.000
Ni2 0.000 0.000 0.500
Cl1 0.160 0.321 0.750
Cl2 0.160 0.840 0.750
Cl3 0.321 0.160 0.250
Cl4 0.679 0.840 0.750
Cl5 0.840 0.160 0.250
Cl6 0.840 0.679 0.250

(14)
Compound: Tl3NiCl
Source: Alexandria via LeMat-Bulk
Functional: PBEsol
Structure: relaxed

Properties
The electronic total energy comes out at -12.7 eV for the cell shown. The value obtained for the density of states at the Fermi level is 1.89 states/eV per atom.

Cell lengths 5.636, 5.636, 5.636 Å; angles 90.00, 90.00, 90.00 degrees
Positions (direct):
Tl1 0.000 0.000 0.500
Tl2 0.000 0.500 0.000
Tl3 0.500 0.000 0.000
Ni1 0.500 0.500 0.500
Cl1 0.000 0.000 0.000

(15)
Compound: TlNiCl2
Source: Alexandria via LeMat-Bulk
Functional: PBEsol
Structure: relaxed

Properties
The value obtained for the offset from the most stable computed form is 390 meV per atom. The electronic total energy comes out at -12.6 eV for the cell shown. The value obtained for the density of states at the Fermi level is 1.49 states/eV per atom.

Cell lengths 4.932, 4.932, 3.427 Å; angles 90.00, 90.00, 90.00 degrees
Positions (direct):
Tl1 0.000 0.000 0.000
Ni1 0.500 0.500 0.000
Cl1 0.000 0.500 0.500
Cl2 0.500 0.000 0.500

(16)
Compound: TlNiCl2
Source: Alexandria via LeMat-Bulk
Functional: PBEsol
Structure: relaxed

Properties
The value obtained for the offset from the most stable computed form is 0 meV per atom. The electronic total energy comes out at -14.2 eV for the cell shown. The value obtained for the density of states at the Fermi level is 0.62 states/eV per atom.

Cell lengths 3.361, 3.361, 7.805 Å; angles 90.00, 90.00, 90.00 degrees
Positions (direct):
Tl1 0.000 0.000 0.000
Ni1 0.500 0.500 0.523
Cl1 0.000 0.000 0.583
Cl2 0.500 0.500 0.236

(17)
Compound: NiWCl2
Source: Alexandria via LeMat-Bulk
Functional: PBEsol
Structure: relaxed

Properties
The value obtained for the offset from the most stable computed form is 703 meV per atom. The electronic total energy comes out at -20.8 eV for the cell shown. The value obtained for the density of states at the Fermi level is 0.78 states/eV per atom.

Cell lengths 4.226, 4.226, 4.226 Å; angles 60.00, 60.00, 60.00 degrees
Positions (direct):
Ni1 0.000 0.000 0.000
W1 0.500 0.500 0.500
Cl1 0.250 0.250 0.250
Cl2 0.750 0.750 0.750

(18)
Compound: NiW2Cl
Source: Alexandria via LeMat-Bulk
Functional: PBEsol
Structure: relaxed

Properties
The value obtained for the offset from the most stable computed form is 314 meV per atom. The electronic total energy comes out at -32.9 eV for the cell shown. The value obtained for the density of states at the Fermi level is 0.78 states/eV per atom.

Cell lengths 4.237, 4.237, 4.237 Å; angles 119.90, 119.90, 90.17 degrees
Positions (direct):
Ni1 0.000 0.000 0.000
W1 0.250 0.750 0.500
W2 0.750 0.250 0.500
Cl1 0.500 0.500 0.000

(19)
Compound: NiW2Cl
Source: Alexandria via LeMat-Bulk
Functional: PBEsol
Structure: relaxed

Properties
The value obtained for the offset from the most stable computed form is 270 meV per atom. The electronic total energy comes out at -33.1 eV for the cell shown. The value obtained for the density of states at the Fermi level is 0.91 states/eV per atom.

Cell lengths 2.726, 2.726, 8.570 Å; angles 90.00, 90.00, 113.80 degrees
Positions (direct):
Ni1 0.000 0.000 0.000
W1 0.500 0.500 0.239
W2 0.500 0.500 0.761
Cl1 0.000 0.000 0.500

(20)
Compound: NiWCl2
Source: Alexandria via LeMat-Bulk
Functional: PBEsol
Structure: relaxed

Properties
The value obtained for the offset from the most stable computed form is 0 meV per atom. The electronic total energy comes out at -23.6 eV for the cell shown. The value obtained for the density of states at the Fermi level is 0.67 states/eV per atom.

Cell lengths 7.038, 7.038, 7.038 Å; angles 156.52, 145.18, 42.43 degrees
Positions (direct):
Ni1 0.000 0.000 0.000
W1 0.500 0.500 0.000
Cl1 0.351 0.851 0.500
Cl2 0.649 0.149 0.500

(21)
Compound: NiW2Cl
Source: Alexandria via LeMat-Bulk
Functional: PBEsol
Structure: relaxed

Properties
The value obtained for the offset from the most stable computed form is 0 meV per atom. The electronic total energy comes out at -34.1 eV for the cell shown. The value obtained for the density of states at the Fermi level is 0.95 states/eV per atom.

Cell lengths 2.776, 2.776, 8.121 Å; angles 90.00, 90.00, 90.00 degrees
Positions (direct):
Ni1 0.000 0.000 0.000
W1 0.000 0.000 0.459
W2 0.500 0.500 0.197
Cl1 0.500 0.500 0.664

(22)
Compound: YNiCl2
Source: Alexandria via LeMat-Bulk
Functional: PBEsol
Structure: relaxed

Properties
The value obtained for the offset from the most stable computed form is 174 meV per atom. The electronic total energy comes out at -19.9 eV for the cell shown. The value obtained for the density of states at the Fermi level is 0.53 states/eV per atom.

Cell lengths 4.808, 4.808, 4.808 Å; angles 126.49, 126.49, 79.08 degrees
Positions (direct):
Y1 0.000 0.000 0.000
Ni1 0.500 0.500 0.000
Cl1 0.250 0.750 0.500
Cl2 0.750 0.250 0.500

(23)
Compound: YNiCl2
Source: Alexandria via LeMat-Bulk
Functional: PBEsol
Structure: relaxed

Properties
The value obtained for the offset from the most stable computed form is 334 meV per atom. The electronic total energy comes out at -19.3 eV for the cell shown. The value obtained for the density of states at the Fermi level is 1.10 states/eV per atom.

Cell lengths 4.680, 4.680, 4.680 Å; angles 60.00, 60.00, 60.00 degrees
Positions (direct):
Y1 0.000 0.000 0.000
Ni1 0.250 0.250 0.250
Cl1 0.500 0.500 0.500
Cl2 0.750 0.750 0.750

(24)
Compound: YNiCl2
Source: Alexandria via LeMat-Bulk
Functional: PBEsol
Structure: relaxed

Properties
The value obtained for the offset from the most stable computed form is 0 meV per atom. The electronic total energy comes out at -20.6 eV for the cell shown. The value obtained for the density of states at the Fermi level is 0.93 states/eV per atom.

Cell lengths 3.362, 3.362, 7.099 Å; angles 90.00, 90.00, 90.00 degrees
Positions (direct):
Y1 0.000 0.000 0.000
Ni1 0.500 0.500 0.774
Cl1 0.000 0.000 0.634
Cl2 0.500 0.500 0.232

(25)
Compound: YNiCl
Source: Alexandria via LeMat-Bulk
Functional: PBEsol
Structure: relaxed

Properties
The electronic total energy comes out at -16.3 eV for the cell shown.

Cell lengths 4.512, 4.512, 4.512 Å; angles 60.00, 60.00, 60.00 degrees
Positions (direct):
Y1 0.000 0.000 0.000
Ni1 0.750 0.750 0.750
Cl1 0.250 0.250 0.250

(26)
Compound: YNiCl
Source: Alexandria via LeMat-Bulk
Functional: PBEsol
Structure: relaxed

Properties
The electronic total energy comes out at -16.9 eV for the cell shown. The value obtained for the density of states at the Fermi level is 0.06 states/eV per atom.

Cell lengths 5.489, 5.489, 5.489 Å; angles 144.50, 144.50, 51.08 degrees
Positions (direct):
Y1 0.000 0.000 0.000
Ni1 0.639 0.639 0.000
Cl1 0.312 0.312 0.000

(27)
Compound: YNi3Cl
Source: Alexandria via LeMat-Bulk
Functional: PBEsol
Structure: relaxed

Properties
The electronic total energy comes out at -26.4 eV for the cell shown. The value obtained for the density of states at the Fermi level is 0.75 states/eV per atom.

Cell lengths 4.248, 4.248, 4.248 Å; angles 90.00, 90.00, 90.00 degrees
Positions (direct):
Y1 0.000 0.000 0.000
Ni1 0.000 0.500 0.500
Ni2 0.500 0.000 0.500
Ni3 0.500 0.500 0.000
Cl1 0.500 0.500 0.500

(28)
Compound: ZnNi2Cl
Source: Alexandria via LeMat-Bulk
Functional: PBEsol
Structure: relaxed

Properties
The value obtained for the offset from the most stable computed form is 415 meV per atom. The electronic total energy comes out at -14.0 eV for the cell shown. The value obtained for the density of states at the Fermi level is 1.77 states/eV per atom.

Cell lengths 4.187, 4.187, 4.187 Å; angles 60.00, 60.00, 60.00 degrees
Positions (direct):
Zn1 0.000 0.000 0.000
Ni1 0.250 0.250 0.250
Ni2 0.500 0.500 0.500
Cl1 0.750 0.750 0.750

(29)
Compound: ZnNiCl2
Source: Alexandria via LeMat-Bulk
Functional: PBEsol
Structure: relaxed

Properties
The value obtained for the offset from the most stable computed form is 0 meV per atom. The electronic total energy comes out at -12.9 eV for the cell shown. The value obtained for the density of states at the Fermi level is 0.34 states/eV per atom.

Cell lengths 3.386, 3.386, 8.169 Å; angles 90.00, 90.00, 123.89 degrees
Positions (direct):
Zn1 0.000 0.000 0.000
Ni1 0.500 0.500 0.774
Cl1 0.000 0.000 0.600
Cl2 0.500 0.500 0.200

(30)
Compound: ZnNiCl2
Source: Alexandria via LeMat-Bulk
Functional: PBEsol
Structure: relaxed

Properties
The value obtained for the offset from the most stable computed form is 218 meV per atom. The electronic total energy comes out at -12.0 eV for the cell shown. The value obtained for the density of states at the Fermi level is 0.30 states/eV per atom.

Cell lengths 4.604, 4.604, 4.594 Å; angles 117.68, 117.68, 93.96 degrees
Positions (direct):
Zn1 0.000 0.000 0.000
Ni1 0.500 0.500 0.000
Cl1 0.000 0.500 0.500
Cl2 0.500 0.000 0.500